# Pu2P3Pt

A geometry-optimized Pu2P3Pt structure (PBE-GGA, Alexandria via LeMat-Bulk). Values from VASP.

```
&SYSTEM
  ibrav = 0, nat = 12, ntyp = 3
/
ATOMIC_SPECIES
Pu 244.00 Pu.upf
P 30.97 P.upf
Pt 195.08 Pt.upf
CELL_PARAMETERS angstrom
6.099 -3.333 0.000
6.099 3.333 0.000
-3.042 0.000 6.371
ATOMIC_POSITIONS crystal
Pu 0.049 0.662 0.834
Pu 0.338 0.951 0.666
Pu 0.662 0.049 0.334
Pu 0.951 0.338 0.166
P 0.083 0.917 0.250
P 0.287 0.304 0.533
P 0.304 0.287 0.033
P 0.696 0.713 0.967
P 0.713 0.696 0.467
P 0.917 0.083 0.750
Pt 0.441 0.559 0.250
Pt 0.559 0.441 0.750
```

Properties
Its total energy is -0.33787 Ha/atom. As for the energy of formation from the pure elements: -705 meV/atom.

=====

# MgSnRhN2

A geometry-optimized MgSnRhN2 structure (PBE-GGA, Alexandria via LeMat-Bulk). Values from VASP.

```
&SYSTEM
  ibrav = 0, nat = 5, ntyp = 4
/
ATOMIC_SPECIES
Mg 24.30 Mg.upf
Sn 118.71 Sn.upf
Rh 102.91 Rh.upf
N 14.01 N.upf
CELL_PARAMETERS angstrom
3.889 0.000 0.000
0.000 3.889 0.000
0.000 0.000 5.776
ATOMIC_POSITIONS crystal
Mg 0.000 0.000 0.000
Sn 0.000 0.000 0.500
Rh 0.500 0.500 0.500
N 0.000 0.500 0.000
N 0.500 0.000 0.000
```

Properties
Its total energy is -0.16482 Ha/atom. The uncorrected formation energy comes out at 1435 meV per atom.

=====

# Mn5Rh

A geometry-optimized Mn5Rh structure (PBE-GGA, Alexandria via LeMat-Bulk). Values from VASP.

```
&SYSTEM
  ibrav = 0, nat = 6, ntyp = 2
/
ATOMIC_SPECIES
Mn 54.94 Mn.upf
Rh 102.91 Rh.upf
CELL_PARAMETERS angstrom
4.059 0.000 0.000
0.000 1.284 6.576
0.000 -1.284 6.576
ATOMIC_POSITIONS crystal
Mn 0.000 0.000 0.000
Mn 0.000 0.323 0.323
Mn 0.000 0.662 0.662
Mn 0.500 0.110 0.110
Mn 0.500 0.769 0.769
Rh 0.500 0.441 0.441
```

Properties
Its total energy is -0.32489 Ha/atom. As for the energy of formation from the pure elements: 26 meV/atom. For the distance to the lowest polymorph of the same formula, the calculation gives 0.081 eV/atom.

=====

# AsCl

A geometry-optimized AsCl structure (PBE-GGA, Alexandria via LeMat-Bulk). Values from VASP.

```
&SYSTEM
  ibrav = 0, nat = 8, ntyp = 2
/
ATOMIC_SPECIES
As 74.92 As.upf
Cl 35.45 Cl.upf
CELL_PARAMETERS angstrom
0.000 4.743 8.480
3.038 0.000 8.480
3.038 4.743 0.000
ATOMIC_POSITIONS crystal
As 0.070 0.680 0.680
As 0.320 0.930 0.930
As 0.680 0.070 0.070
As 0.930 0.320 0.320
Cl 0.174 0.174 0.576
Cl 0.424 0.424 0.826
Cl 0.576 0.576 0.174
Cl 0.826 0.826 0.424
```

Properties
Its total energy is -0.11997 Ha/atom. The uncorrected formation energy comes out at -16 meV per atom.

=====

# AcErAl2Ge2

A geometry-optimized AcErAl2Ge2 structure (PBE-GGA, Alexandria via LeMat-Bulk). Values from VASP.

```
&SYSTEM
  ibrav = 0, nat = 6, ntyp = 4
/
ATOMIC_SPECIES
Ac 227.00 Ac.upf
Er 167.26 Er.upf
Al 26.98 Al.upf
Ge 72.64 Ge.upf
CELL_PARAMETERS angstrom
4.262 0.000 0.000
-2.131 3.691 0.000
0.000 0.000 8.884
ATOMIC_POSITIONS crystal
Ac 0.000 0.000 0.000
Er 0.000 0.000 0.500
Al 0.333 0.667 0.750
Al 0.667 0.333 0.250
Ge 0.333 0.667 0.298
Ge 0.667 0.333 0.702
```

Properties
Its total energy is -0.17668 Ha/atom. As for the energy of formation from the pure elements: -576 meV/atom.

=====

# ZnSb2S2

A geometry-optimized ZnSb2S2 structure (PBE-GGA, Alexandria via LeMat-Bulk). Values from VASP.

```
&SYSTEM
  ibrav = 0, nat = 10, ntyp = 3
/
ATOMIC_SPECIES
Zn 65.41 Zn.upf
Sb 121.76 Sb.upf
S 32.06 S.upf
CELL_PARAMETERS angstrom
8.280 0.000 0.000
0.000 8.280 0.000
0.000 0.000 3.581
ATOMIC_POSITIONS crystal
Zn 0.000 0.000 0.000
Zn 0.500 0.500 0.000
Sb 0.208 0.292 0.500
Sb 0.292 0.792 0.500
Sb 0.708 0.208 0.500
Sb 0.792 0.708 0.500
S 0.139 0.639 0.000
S 0.361 0.139 0.000
S 0.639 0.861 0.000
S 0.861 0.361 0.000
```

Properties
Its total energy is -0.12261 Ha/atom. For the distance to the lowest polymorph of the same formula, the calculation gives 0.000 eV/atom. The uncorrected formation energy comes out at 218 meV per atom.

=====

# CdAsP2S

A geometry-optimized CdAsP2S structure (PBE-GGA, Alexandria via LeMat-Bulk). Values from VASP.

```
&SYSTEM
  ibrav = 0, nat = 5, ntyp = 4
/
ATOMIC_SPECIES
Cd 112.41 Cd.upf
As 74.92 As.upf
P 30.97 P.upf
S 32.06 S.upf
CELL_PARAMETERS angstrom
4.715 0.000 0.000
0.000 4.715 0.000
0.000 0.000 4.899
ATOMIC_POSITIONS crystal
Cd 0.000 0.000 0.000
As 0.500 0.500 0.500
P 0.000 0.500 0.500
P 0.500 0.000 0.500
S 0.500 0.500 0.000
```

Properties
Its total energy is -0.12256 Ha/atom. For the distance to the lowest polymorph of the same formula, the calculation gives 0.000 eV/atom. The uncorrected formation energy comes out at 767 meV per atom.

=====

# CeNi2C

A geometry-optimized CeNi2C structure (PBE-GGA, Alexandria via LeMat-Bulk). Values from VASP.

```
&SYSTEM
  ibrav = 0, nat = 8, ntyp = 3
/
ATOMIC_SPECIES
Ce 140.12 Ce.upf
Ni 58.69 Ni.upf
C 12.01 C.upf
CELL_PARAMETERS angstrom
3.409 0.000 0.000
0.000 6.111 0.000
-1.703 0.000 5.023
ATOMIC_POSITIONS crystal
Ce 0.042 0.250 0.086
Ce 0.958 0.750 0.914
Ni 0.322 0.058 0.645
Ni 0.322 0.442 0.645
Ni 0.678 0.558 0.355
Ni 0.678 0.942 0.355
C 0.239 0.750 0.478
C 0.761 0.250 0.522
```

Properties
Its total energy is -0.24522 Ha/atom. As for the energy of formation from the pure elements: 7 meV/atom.

=====

# LaSbH2Rh2

A geometry-optimized LaSbH2Rh2 structure (PBE-GGA, Alexandria via LeMat-Bulk). Values from VASP.

```
&SYSTEM
  ibrav = 0, nat = 12, ntyp = 4
/
ATOMIC_SPECIES
La 138.91 La.upf
Sb 121.76 Sb.upf
H 1.01 H.upf
Rh 102.91 Rh.upf
CELL_PARAMETERS angstrom
4.823 0.000 0.000
0.000 5.767 0.000
-0.972 0.000 7.081
ATOMIC_POSITIONS crystal
La 0.245 0.250 0.350
La 0.755 0.750 0.650
Sb 0.209 0.750 0.104
Sb 0.791 0.250 0.896
H 0.172 0.250 0.668
H 0.260 0.750 0.666
H 0.740 0.250 0.334
H 0.828 0.750 0.332
Rh 0.290 0.013 0.808
Rh 0.290 0.487 0.808
Rh 0.710 0.513 0.192
Rh 0.710 0.987 0.192
```

Properties
Its total energy is -0.20539 Ha/atom.

=====

# CePu4Ge3

A geometry-optimized CePu4Ge3 structure (PBE-GGA, Alexandria via LeMat-Bulk). Values from VASP.

```
&SYSTEM
  ibrav = 0, nat = 16, ntyp = 3
/
ATOMIC_SPECIES
Ce 140.12 Ce.upf
Pu 244.00 Pu.upf
Ge 72.64 Ge.upf
CELL_PARAMETERS angstrom
-5.850 5.850 2.819
5.850 -5.850 2.819
5.850 5.850 -2.819
ATOMIC_POSITIONS crystal
Ce 0.250 0.750 0.500
Ce 0.750 0.250 0.500
Pu 0.084 0.782 0.866
Pu 0.218 0.084 0.303
Pu 0.282 0.584 0.866
Pu 0.416 0.282 0.697
Pu 0.584 0.718 0.303
Pu 0.718 0.416 0.134
Pu 0.782 0.916 0.697
Pu 0.916 0.218 0.134
Ge 0.161 0.339 0.500
Ge 0.250 0.250 0.000
Ge 0.339 0.839 0.178
Ge 0.661 0.161 0.822
Ge 0.750 0.750 0.000
Ge 0.839 0.661 0.500
```

Properties
Its total energy is -0.36971 Ha/atom. As for the energy of formation from the pure elements: -421 meV/atom.

=====

# HoAlAgRh

A geometry-optimized HoAlAgRh structure (PBE-GGA, Alexandria via LeMat-Bulk). Values from VASP.

```
&SYSTEM
  ibrav = 0, nat = 4, ntyp = 4
/
ATOMIC_SPECIES
Ho 164.93 Ho.upf
Al 26.98 Al.upf
Ag 107.87 Ag.upf
Rh 102.91 Rh.upf
CELL_PARAMETERS angstrom
0.000 3.318 3.318
3.318 0.000 3.318
3.318 3.318 0.000
ATOMIC_POSITIONS crystal
Ho 0.000 0.000 0.000
Al 0.500 0.500 0.500
Ag 0.750 0.750 0.750
Rh 0.250 0.250 0.250
```

Properties
Its total energy is -0.18955 Ha/atom. As for the energy of formation from the pure elements: -527 meV/atom.

=====

# ZrHPb2

A geometry-optimized ZrHPb2 structure (PBE-GGA, Alexandria via LeMat-Bulk). Values from VASP.

```
&SYSTEM
  ibrav = 0, nat = 8, ntyp = 3
/
ATOMIC_SPECIES
Zr 91.22 Zr.upf
H 1.01 H.upf
Pb 207.20 Pb.upf
CELL_PARAMETERS angstrom
-3.508 3.508 3.382
3.508 -3.508 3.382
3.508 3.508 -3.382
ATOMIC_POSITIONS crystal
Zr 0.000 0.000 0.000
Zr 0.750 0.250 0.500
H 0.250 0.750 0.500
H 0.500 0.500 0.000
Pb 0.211 0.625 0.086
Pb 0.375 0.461 0.586
Pb 0.539 0.125 0.914
Pb 0.875 0.789 0.414
```

Properties
Its total energy is -0.16731 Ha/atom. For the distance to the lowest polymorph of the same formula, the calculation gives 0.000 eV/atom.

=====

# Sc5Zn

A geometry-optimized Sc5Zn structure (PBE-GGA, Alexandria via LeMat-Bulk). Values from VASP.

```
&SYSTEM
  ibrav = 0, nat = 6, ntyp = 2
/
ATOMIC_SPECIES
Sc 44.96 Sc.upf
Zn 65.41 Zn.upf
CELL_PARAMETERS angstrom
2.205 -6.895 0.000
2.205 6.895 0.000
0.000 0.000 4.421
ATOMIC_POSITIONS crystal
Sc 0.000 0.000 0.000
Sc 0.159 0.841 0.500
Sc 0.333 0.667 0.000
Sc 0.667 0.333 0.000
Sc 0.841 0.159 0.500
Zn 0.500 0.500 0.500
```

Properties
Its total energy is -0.20333 Ha/atom. As for the energy of formation from the pure elements: -44 meV/atom. For the distance to the lowest polymorph of the same formula, the calculation gives 0.045 eV/atom.

=====

# RbZrTlSe3

A geometry-optimized RbZrTlSe3 structure (PBE-GGA, Alexandria via LeMat-Bulk). Values from VASP.

```
&SYSTEM
  ibrav = 0, nat = 12, ntyp = 4
/
ATOMIC_SPECIES
Rb 85.47 Rb.upf
Zr 91.22 Zr.upf
Tl 204.38 Tl.upf
Se 78.96 Se.upf
CELL_PARAMETERS angstrom
3.941 -7.770 0.000
3.941 7.770 0.000
-1.574 0.000 6.965
ATOMIC_POSITIONS crystal
Rb 0.244 0.756 0.750
Rb 0.756 0.244 0.250
Zr 0.049 0.951 0.250
Zr 0.951 0.049 0.750
Tl 0.416 0.584 0.250
Tl 0.584 0.416 0.750
Se 0.177 0.262 0.502
Se 0.212 0.788 0.250
Se 0.262 0.177 0.002
Se 0.738 0.823 0.998
Se 0.788 0.212 0.750
Se 0.823 0.738 0.498
```

Properties
Its total energy is -0.17701 Ha/atom. The uncorrected formation energy comes out at -1094 meV per atom.

=====

# Mg2MoSe2

A geometry-optimized Mg2MoSe2 structure (PBE-GGA, Alexandria via LeMat-Bulk). Values from VASP.

```
&SYSTEM
  ibrav = 0, nat = 5, ntyp = 3
/
ATOMIC_SPECIES
Mg 24.30 Mg.upf
Mo 95.94 Mo.upf
Se 78.96 Se.upf
CELL_PARAMETERS angstrom
-1.896 1.896 7.698
1.896 -1.896 7.698
1.896 1.896 -7.698
ATOMIC_POSITIONS crystal
Mg 0.098 0.098 0.000
Mg 0.902 0.902 0.000
Mo 0.500 0.500 0.000
Se 0.250 0.750 0.500
Se 0.750 0.250 0.500
```

Properties
Its total energy is -0.13676 Ha/atom. For the distance to the lowest polymorph of the same formula, the calculation gives 0.369 eV/atom. The uncorrected formation energy comes out at 476 meV per atom.

=====

# Hg3As2Pb8

A geometry-optimized Hg3As2Pb8 structure (PBE-GGA, Alexandria via LeMat-Bulk). Values from VASP.

```
&SYSTEM
  ibrav = 0, nat = 13, ntyp = 3
/
ATOMIC_SPECIES
Hg 200.59 Hg.upf
As 74.92 As.upf
Pb 207.20 Pb.upf
CELL_PARAMETERS angstrom
8.068 -4.218 0.000
8.068 4.218 0.000
-1.974 0.000 5.769
ATOMIC_POSITIONS crystal
Hg 0.000 0.000 0.000
Hg 0.187 0.813 0.500
Hg 0.813 0.187 0.500
As 0.231 0.231 0.079
As 0.769 0.769 0.921
Pb 0.164 0.585 0.966
Pb 0.180 0.180 0.556
Pb 0.386 0.386 0.493
Pb 0.415 0.836 0.034
Pb 0.585 0.164 0.966
Pb 0.614 0.614 0.507
Pb 0.820 0.820 0.444
Pb 0.836 0.415 0.034
```

Properties
Its total energy is -0.11027 Ha/atom. As for the energy of formation from the pure elements: 67 meV/atom.

=====

# NdY2Er8

A geometry-optimized NdY2Er8 structure (PBE-GGA, Alexandria via LeMat-Bulk). Values from VASP.

```
&SYSTEM
  ibrav = 0, nat = 11, ntyp = 3
/
ATOMIC_SPECIES
Nd 144.24 Nd.upf
Y 88.91 Y.upf
Er 167.26 Er.upf
CELL_PARAMETERS angstrom
4.625 -8.516 0.000
4.625 8.516 0.000
-3.767 0.000 4.546
ATOMIC_POSITIONS crystal
Nd 0.000 0.000 0.000
Y 0.311 0.689 0.500
Y 0.689 0.311 0.500
Er 0.099 0.360 0.729
Er 0.201 0.799 0.000
Er 0.360 0.099 0.729
Er 0.499 0.499 0.257
Er 0.501 0.501 0.743
Er 0.640 0.901 0.271
Er 0.799 0.201 0.000
Er 0.901 0.640 0.271
```

Properties
Its total energy is -0.17542 Ha/atom. As for the energy of formation from the pure elements: 154 meV/atom. For the distance to the lowest polymorph of the same formula, the calculation gives 0.000 eV/atom.

=====

# NaSrSe2I

A geometry-optimized NaSrSe2I structure (PBE-GGA, Alexandria via LeMat-Bulk). Values from VASP.

```
&SYSTEM
  ibrav = 0, nat = 5, ntyp = 4
/
ATOMIC_SPECIES
Na 22.99 Na.upf
Sr 87.62 Sr.upf
Se 78.96 Se.upf
I 126.90 I.upf
CELL_PARAMETERS angstrom
5.150 0.000 0.000
0.000 5.150 0.000
0.000 0.000 6.102
ATOMIC_POSITIONS crystal
Na 0.000 0.000 0.000
Sr 0.500 0.500 0.500
Se 0.000 0.500 0.000
Se 0.500 0.000 0.000
I 0.000 0.000 0.500
```

Properties
Its total energy is -0.10777 Ha/atom. The uncorrected formation energy comes out at -629 meV per atom.

=====

# Be3Rh2

A geometry-optimized Be3Rh2 structure (PBE-GGA, Alexandria via LeMat-Bulk). Values from VASP.

```
&SYSTEM
  ibrav = 0, nat = 5, ntyp = 2
/
ATOMIC_SPECIES
Be 9.01 Be.upf
Rh 102.91 Rh.upf
CELL_PARAMETERS angstrom
3.697 0.000 0.000
-1.849 3.202 0.000
0.000 0.000 4.679
ATOMIC_POSITIONS crystal
Be 0.000 0.000 0.000
Be 0.333 0.667 0.175
Be 0.667 0.333 0.825
Rh 0.333 0.667 0.688
Rh 0.667 0.333 0.312
```

Properties
Its total energy is -0.20244 Ha/atom. As for the energy of formation from the pure elements: -332 meV/atom. For the distance to the lowest polymorph of the same formula, the calculation gives 0.192 eV/atom.

=====

# ErHPb

A geometry-optimized ErHPb structure (PBE-GGA, Alexandria via LeMat-Bulk). Values from VASP.

```
&SYSTEM
  ibrav = 0, nat = 3, ntyp = 3
/
ATOMIC_SPECIES
Er 167.26 Er.upf
H 1.01 H.upf
Pb 207.20 Pb.upf
CELL_PARAMETERS angstrom
3.633 0.000 0.000
-1.817 3.146 0.000
0.000 0.000 5.147
ATOMIC_POSITIONS crystal
Er 0.000 0.000 0.000
H 0.333 0.667 0.000
Pb 0.667 0.333 0.500
```

Properties
Its total energy is -0.16211 Ha/atom. For the distance to the lowest polymorph of the same formula, the calculation gives 0.000 eV/atom.

=====

# PrDyPd4

A geometry-optimized PrDyPd4 structure (PBE-GGA, Alexandria via LeMat-Bulk). Values from VASP.

```
&SYSTEM
  ibrav = 0, nat = 6, ntyp = 3
/
ATOMIC_SPECIES
Pr 140.91 Pr.upf
Dy 162.50 Dy.upf
Pd 106.42 Pd.upf
CELL_PARAMETERS angstrom
0.000 3.888 3.888
3.888 0.000 3.888
3.888 3.888 0.000
ATOMIC_POSITIONS crystal
Pr 0.000 0.000 0.000
Dy 0.750 0.750 0.750
Pd 0.375 0.375 0.375
Pd 0.375 0.375 0.874
Pd 0.375 0.874 0.375
Pd 0.874 0.375 0.375
```

Properties
Its total energy is -0.21335 Ha/atom. As for the energy of formation from the pure elements: -780 meV/atom. For the distance to the lowest polymorph of the same formula, the calculation gives 0.061 eV/atom.

=====

# Ta2ZnAu

A geometry-optimized Ta2ZnAu structure (PBE-GGA, Alexandria via LeMat-Bulk). Values from VASP.

```
&SYSTEM
  ibrav = 0, nat = 4, ntyp = 3
/
ATOMIC_SPECIES
Ta 180.95 Ta.upf
Zn 65.41 Zn.upf
Au 196.97 Au.upf
CELL_PARAMETERS angstrom
5.132 -1.463 0.000
5.132 1.463 0.000
-2.095 0.000 4.594
ATOMIC_POSITIONS crystal
Ta 0.000 0.000 0.000
Ta 0.248 0.248 0.893
Zn 0.751 0.751 0.398
Au 0.495 0.495 0.490
```

Properties
Its total energy is -0.25802 Ha/atom. As for the energy of formation from the pure elements: 43 meV/atom.

=====

# NdDy3Cd4

A geometry-optimized NdDy3Cd4 structure (PBE-GGA, Alexandria via LeMat-Bulk). Values from VASP.

```
&SYSTEM
  ibrav = 0, nat = 8, ntyp = 3
/
ATOMIC_SPECIES
Nd 144.24 Nd.upf
Dy 162.50 Dy.upf
Cd 112.41 Cd.upf
CELL_PARAMETERS angstrom
5.306 0.000 0.000
0.000 5.306 0.000
0.000 0.000 7.630
ATOMIC_POSITIONS crystal
Nd 0.000 0.000 0.000
Dy 0.000 0.000 0.500
Dy 0.500 0.500 0.000
Dy 0.500 0.500 0.500
Cd 0.000 0.500 0.258
Cd 0.000 0.500 0.742
Cd 0.500 0.000 0.258
Cd 0.500 0.000 0.742
```

Properties
Its total energy is -0.11369 Ha/atom. As for the energy of formation from the pure elements: -314 meV/atom.